Below is a geometry-optimized Na7Al4P9O32 structure, with properties calculated at the PBE-GGA level.

a = 14.228 Å, b = 14.228 Å, c = 6.237 Å
α = 90.00°, β = 90.00°, γ = 90.00°
Fractional coordinates of all 104 atoms:
O  0.606  0.733  0.293
O  0.637  0.333  0.329
O  0.799  0.717  0.878
O  0.986  0.741  0.905
O  0.514  0.241  0.595
O  0.572  0.898  0.434
O  0.428  0.102  0.434
O  0.693  0.597  0.057
O  0.815  0.547  0.787
O  0.863  0.833  0.171
O  0.193  0.903  0.443
O  0.014  0.259  0.905
O  0.070  0.951  0.153
O  0.233  0.106  0.793
O  0.363  0.667  0.329
O  0.903  0.807  0.557
O  0.217  0.299  0.378
O  0.167  0.863  0.829
O  0.741  0.014  0.095
O  0.072  0.602  0.066
O  0.783  0.701  0.378
O  0.451  0.570  0.653
O  0.453  0.815  0.213
O  0.894  0.233  0.207
O  0.597  0.307  0.943
O  0.201  0.283  0.878
O  0.185  0.453  0.787
O  0.898  0.428  0.566
O  0.667  0.637  0.671
O  0.398  0.072  0.934
O  0.759  0.514  0.405
O  0.106  0.767  0.207
O  0.930  0.049  0.153
O  0.807  0.097  0.443
O  0.685  0.047  0.713
O  0.549  0.430  0.653
O  0.951  0.930  0.847
O  0.394  0.267  0.293
O  0.333  0.363  0.671
O  0.570  0.549  0.347
O  0.486  0.759  0.595
O  0.049  0.070  0.847
O  0.102  0.572  0.566
O  0.403  0.693  0.943
O  0.953  0.685  0.287
O  0.928  0.398  0.066
O  0.833  0.137  0.829
O  0.241  0.486  0.405
O  0.137  0.167  0.171
O  0.602  0.928  0.934
O  0.701  0.217  0.622
O  0.717  0.201  0.122
O  0.733  0.394  0.707
O  0.307  0.403  0.057
O  0.259  0.986  0.095
O  0.299  0.783  0.622
O  0.547  0.185  0.213
O  0.767  0.894  0.793
O  0.097  0.193  0.557
O  0.283  0.799  0.122
O  0.430  0.451  0.347
O  0.267  0.606  0.707
O  0.315  0.953  0.713
O  0.047  0.315  0.287
Na  0.500  0.000  0.179
Na  0.000  0.500  0.321
Na  0.500  0.500  0.000
Na  0.761  0.426  0.093
Na  0.426  0.239  0.907
Na  0.000  0.000  0.500
Na  0.926  0.261  0.593
Na  0.000  0.500  0.821
Na  0.261  0.074  0.407
Na  0.500  0.000  0.679
Na  0.074  0.739  0.593
Na  0.239  0.574  0.093
Na  0.574  0.761  0.907
Na  0.739  0.926  0.407
P  0.200  0.534  0.602
P  0.966  0.300  0.102
P  0.130  0.240  0.349
P  0.260  0.370  0.849
P  0.800  0.466  0.602
P  0.034  0.700  0.102
P  0.534  0.800  0.398
P  0.630  0.260  0.151
P  0.700  0.966  0.898
P  0.740  0.630  0.849
P  0.870  0.760  0.349
P  0.240  0.870  0.651
P  0.370  0.740  0.151
P  0.500  0.500  0.500
P  0.466  0.200  0.398
P  0.300  0.034  0.898
P  0.000  0.000  0.000
P  0.760  0.130  0.651
Al  0.822  0.123  0.138
Al  0.678  0.623  0.362
Al  0.877  0.822  0.862
Al  0.178  0.877  0.138
Al  0.377  0.678  0.638
Al  0.322  0.377  0.362
Al  0.123  0.178  0.862
Al  0.623  0.322  0.638

Output
E_form (uncorrected) in eV per atom: -2.4260
SG: P-42_1c
Raw total energy in Ry/atom: -0.506
M_tot in μB/cell: 0.00